[1]
## CaSmBi2 (PBE)

Data for a relaxed structure of CaSmBi2.

density	7421	kg/m³
DOS at the Fermi energy	14.9	states/eV per cell
energy relative to the elements	-737	meV per atom
relative energy among the computed polymorphs	22	meV/atom
size of the total moment	0.000	μB/cell
SG	P4/mmm (123)

Lattice parameters (Å, degrees): 6.4788 6.4788 12.9732 90.00 90.00 90.00
With the nearest neighbours (Å) after each atom.
Atoms (fractional coordinates):
Ca (0.7500, 0.7502, 0.2500)  6 Bi 3.24
Bi (0.7500, 0.2502, 0.2499)  4 Ca 3.24, 2 Sm 3.24
Sm (0.2500, 0.7500, 0.0001)  6 Bi 3.24
Bi (0.7500, 0.7500, 0.0000)  4 Sm 3.24, 2 Ca 3.24
Sm (0.2500, 0.7500, 0.5001)  6 Bi 3.24
Bi (0.2500, 0.2500, 0.5000)  4 Sm 3.24, 2 Ca 3.24
Sm (0.7500, 0.2500, 0.9999)  6 Bi 3.24
Bi (0.7500, 0.2498, 0.7499)  4 Ca 3.24, 2 Sm 3.24
Bi (0.2500, 0.2500, 0.0000)  4 Sm 3.24, 2 Ca 3.24
Ca (0.2500, 0.2498, 0.7500)  6 Bi 3.24
Ca (0.7500, 0.7498, 0.7500)  6 Bi 3.24
Bi (0.2500, 0.7502, 0.2501)  4 Ca 3.24, 2 Sm 3.24
Bi (0.7500, 0.7500, 0.5000)  4 Sm 3.24, 2 Ca 3.24
Ca (0.2500, 0.2502, 0.2500)  6 Bi 3.24
Sm (0.7500, 0.2500, 0.4999)  6 Bi 3.24
Bi (0.2500, 0.7498, 0.7501)  4 Ca 3.24, 2 Sm 3.24


[2]
## KCa2CdF (PBE)

Data for a relaxed structure of KCa2CdF.

density	1801	kg/m³
DOS at the Fermi energy	3.6	states/eV per cell
E	-9.583	eV for the cell shown
size of the total moment	0.000	μB/cell
SG	P4/mmm (123)

Lattice parameters (Å, degrees): 5.9612 6.5044 5.9612 90.00 90.00 90.00
With the nearest neighbours (Å) after each atom.
Atoms (fractional coordinates):
K (0.0000, 0.5000, 0.0000)  2 Cd 3.25
Cd (0.0000, 0.0000, 0.0000)  4 Ca 2.98, 2 K 3.25
Ca (0.0000, 0.0000, 0.5000)  2 Cd 2.98
F (0.5000, 0.5000, 0.5000)  4 K 4.22, 8 Ca 4.41
Ca (0.5000, 0.0000, 0.0000)  2 Cd 2.98


[3]
## Tl3In3Bi (PBE)

Data for a relaxed structure of Tl3In3Bi.

density	6710	kg/m³
DOS at the Fermi energy	13.2	states/eV per cell
energy relative to the elements	564	meV per atom
relative energy among the computed polymorphs	551	meV/atom
size of the total moment	2.598	μB/cell
SG	Pm-3n (223)

Lattice parameters (Å, degrees): 8.3271 8.3271 8.3271 90.00 90.00 90.00
With the nearest neighbours (Å) after each atom.
Atoms (fractional coordinates):
In (0.2500, 0.0000, 0.5000)  4 Tl 2.94
In (0.0000, 0.5000, 0.7500)  4 Tl 2.94
In (0.5000, 0.2500, 0.0000)  4 Tl 2.94
Tl (0.2500, 0.5000, 0.0000)  4 In 2.94
In (0.0000, 0.5000, 0.2500)  4 Tl 2.94
Bi (0.0000, 0.0000, 0.0000)  12 Tl 4.65, 12 In 4.65
In (0.5000, 0.7500, 0.0000)  4 Tl 2.94
Tl (0.0000, 0.2500, 0.5000)  4 In 2.94
Tl (0.7500, 0.5000, 0.0000)  4 In 2.94
Tl (0.5000, 0.0000, 0.2500)  4 In 2.94
In (0.7500, 0.0000, 0.5000)  4 Tl 2.94
Tl (0.5000, 0.0000, 0.7500)  4 In 2.94
Tl (0.0000, 0.7500, 0.5000)  4 In 2.94
Bi (0.5000, 0.5000, 0.5000)  12 Tl 4.65, 12 In 4.65